DFT (PBE) results for Hf3SnP after structural relaxation.

```
Hf3SnP
1.0
7.819 -1.725 0.000
7.819 1.725 0.000
-5.094 0.000 7.909
Hf Sn P
6 2 2
Direct
0.048 0.048 0.214
0.252 0.252 0.640
0.405 0.405 0.284
0.595 0.595 0.716
0.748 0.748 0.360
0.952 0.952 0.786
0.168 0.168 0.048
0.832 0.832 0.952
0.392 0.392 0.546
0.608 0.608 0.454
```

Properties
Energy relative to the lowest polymorph listed for this composition   10.6 kJ/mol of atoms
Magnetic moment   0.0 μB/cell
VASP energy   -8.346 eV per atom
ΔE_f   -2.5 eV/f.u.
D(E_F)   4.58 states/eV/f.u.